Record 1
## VIr2Rh6 (GGA-PBE)

Data for an optimized crystal structure of VIr2Rh6.

Cell and atoms, written as extended XYZ:
```
9
Lattice="7.4961 0.0000 0.0000 -3.7481 6.4918 0.0000 0.0000 0.0000 2.7103" Properties=species:S:1:pos:R:3 pbc="T T T"
V 0.0000 0.0000 0.0000
Ir 0.0000 4.3279 1.3552
Ir 3.7481 2.1639 1.3552
Rh -1.2051 2.0873 0.7031
Rh -2.5430 4.4045 2.0072
Rh 2.4102 0.0000 0.7031
Rh 1.2051 2.0873 2.0072
Rh 5.0859 0.0000 2.0072
Rh 2.5430 4.4045 0.7031
```

Properties
Its space-group type is P-31m (162). For the magnetization, the calculation gives 0.01 Bohr magnetons per cell. The value obtained for the theoretical density is 13.255 g/cm3. Its formation energy is 160 meV/atom. As for the raw total energy: -0.284 Ha/atom.

***

Record 2
## ZnRe2Se (GGA-PBE)

Data for an optimized crystal structure of ZnRe2Se.

Cell and atoms, written as extended XYZ:
```
8
Lattice="5.2659 0.0000 0.0000 0.0000 8.0615 0.0000 0.0000 0.0000 2.9341" Properties=species:S:1:pos:R:3 pbc="T T T"
Zn 0.0000 0.0000 0.0000
Zn 2.6330 4.0307 0.0000
Re 1.3165 2.0154 1.4670
Re 1.3165 6.0461 1.4670
Re 3.9494 2.0154 1.4670
Re 3.9494 6.0461 1.4670
Se 0.0000 4.0307 0.0000
Se 2.6330 0.0000 0.0000
```

Properties
Its space-group type is Cmmm (65). For the magnetization, the calculation gives 0.00 Bohr magnetons per cell. The value obtained for the theoretical density is 13.779 g/cm3. The raw formation energy comes out at 0.852 eV/atom. As for the raw total energy: -0.241 Ha/atom.

***

Record 3
## Si2RhBr (GGA-PBE)

Data for an optimized crystal structure of Si2RhBr.

Cell and atoms, written as extended XYZ:
```
8
Lattice="7.1815 0.0000 0.0000 0.0000 3.3980 0.0000 -2.2943 0.0000 6.4869" Properties=species:S:1:pos:R:3 pbc="T T T"
Si 0.0000 0.0000 0.0000
Si -0.2513 0.0000 5.4918
Si 3.5907 1.6990 0.0000
Si 3.3395 1.6990 5.4918
Rh 1.8959 0.0000 4.4365
Rh 5.4866 1.6990 4.4365
Br 0.3537 1.6990 2.7304
Br 3.9445 0.0000 2.7304
```

Properties
Its space-group type is Cm (8). For the magnetization, the calculation gives 0.00 Bohr magnetons per cell. The value obtained for the theoretical density is 5.014 g/cm3. The raw formation energy comes out at -0.014 eV/atom. As for the raw total energy: -0.183 Ha/atom.

***

Record 4
## Cd3SiTc (GGA-PBE)

Data for an optimized crystal structure of Cd3SiTc.

Cell and atoms, written as extended XYZ:
```
5
Lattice="5.1983 0.0000 0.0000 0.0000 5.1983 0.0000 0.0000 0.0000 5.1983" Properties=species:S:1:pos:R:3 pbc="T T T"
Cd 0.0000 0.0000 2.5991
Cd 0.0000 2.5991 0.0000
Cd 2.5991 0.0000 0.0000
Si 2.5991 2.5991 2.5991
Tc 0.0000 0.0000 0.0000
```

Properties
Its space-group type is Pm-3m (221). For the magnetization, the calculation gives 1.14 Bohr magnetons per cell. The value obtained for the theoretical density is 5.477 g/cm3. The raw formation energy comes out at 1.211 eV/atom. As for the raw total energy: -0.092 Ha/atom.

***

Record 5
## ScGaBr2 (GGA-PBE)

Data for an optimized crystal structure of ScGaBr2.

Cell and atoms, written as extended XYZ:
```
12
Lattice="3.5711 0.0000 0.0000 -1.7855 3.0926 0.0000 0.0000 0.0000 30.2336" Properties=species:S:1:pos:R:3 pbc="T T T"
Sc 0.0000 0.0000 0.0000
Sc 0.0000 2.0618 20.1557
Sc 1.7855 1.0309 10.0778
Ga 0.0000 0.0000 15.1168
Ga 0.0000 2.0618 5.0389
Ga 1.7855 1.0309 25.1946
Br 0.0000 0.0000 11.8549
Br 0.0000 0.0000 18.3787
Br 0.0000 2.0618 1.7770
Br 0.0000 2.0618 8.3008
Br 1.7855 1.0309 21.9327
Br 1.7855 1.0309 28.4566
```

Properties
Its space-group type is R-3m (166). For the magnetization, the calculation gives 0.00 Bohr magnetons per cell. The value obtained for the theoretical density is 4.095 g/cm3. The raw formation energy comes out at -0.879 eV/atom. As for the raw total energy: -0.149 Ha/atom.

***

Record 6
## FeCuRe3 (GGA-PBE)

Data for an optimized crystal structure of FeCuRe3.

Cell and atoms, written as extended XYZ:
```
5
Lattice="4.3898 0.0000 0.0000 0.0000 4.3898 0.0000 0.0000 0.0000 4.3898" Properties=species:S:1:pos:R:3 pbc="T T T"
Fe 0.0000 0.0000 0.0000
Cu 2.1949 2.1949 2.1949
Re 0.0000 0.0000 2.1949
Re 0.0000 2.1949 0.0000
Re 2.1949 0.0000 0.0000
```

Properties
Its space-group type is Pm-3m (221). For the magnetization, the calculation gives 0.00 Bohr magnetons per cell. The value obtained for the theoretical density is 13.309 g/cm3. Its formation energy is 1702 meV/atom. As for the raw total energy: -0.304 Ha/atom.

***

Record 7
## NaNdI3 (GGA-PBE)

Data for an optimized crystal structure of NaNdI3.

Cell and atoms, written as extended XYZ:
```
10
Lattice="7.1937 0.0000 0.0000 2.0876 8.4041 0.0000 1.1566 4.0803 7.8401" Properties=species:S:1:pos:R:3 pbc="T T T"
Na 2.0007 1.5445 2.6574
Na 8.4373 10.9398 5.1827
Nd 1.6221 6.2422 3.9201
Nd 5.2190 6.2422 3.9201
I 3.3606 8.4509 5.4937
I 3.4496 7.0122 1.3845
I 3.3896 3.7225 4.7600
I 7.0484 8.7619 3.0802
I 6.9884 5.4722 6.4556
I 7.0774 4.0335 2.3464
```

Properties
Its space-group type is P-1 (2). For the magnetization, the calculation gives 0.69 Bohr magnetons per cell. The value obtained for the theoretical density is 3.839 g/cm3. The raw formation energy comes out at -1.197 eV/atom. As for the raw total energy: -0.123 Ha/atom.

***

Record 8
## Ac2Tb3Pm4 (GGA-PBE)

Data for an optimized crystal structure of Ac2Tb3Pm4.

Cell and atoms, written as extended XYZ:
```
18
Lattice="8.8184 0.0000 0.0000 0.0000 8.8320 0.0000 -3.2993 0.0000 8.3492" Properties=species:S:1:pos:R:3 pbc="T T T"
Ac 1.3935 1.3470 0.4047
Ac -0.2561 3.0689 4.5793
Ac 5.7753 5.7630 3.7699
Ac 4.1256 7.4849 7.9445
Tb 1.3594 5.9455 2.1045
Tb -0.2902 7.3024 6.2791
Tb 2.7596 0.0000 4.1746
Tb 4.4092 4.4160 0.0000
Tb 5.8093 1.5295 2.0701
Tb 4.1597 2.8864 6.2447
Pm -2.1027 4.7472 7.2583
Pm -0.4531 8.5007 3.0837
Pm 1.4564 1.2067 7.1336
Pm 3.1060 3.2093 2.9590
Pm 2.4131 5.6226 5.3902
Pm 4.0628 7.6253 1.2156
Pm 5.9722 0.3313 5.2655
Pm 7.6219 4.0847 1.0909
```

Properties
Its space-group type is P2_1/c (14). For the magnetization, the calculation gives 0.00 Bohr magnetons per cell. The value obtained for the theoretical density is 7.716 g/cm3. Its formation energy is 144 meV/atom. As for the raw total energy: -0.163 Ha/atom.

***

Record 9
## Li3Ac2SmBi4 (GGA-PBE)

Data for an optimized crystal structure of Li3Ac2SmBi4.

Cell and atoms, written as extended XYZ:
```
10
Lattice="4.9111 0.0000 0.0000 0.0000 4.9111 0.0000 0.0000 0.0000 12.2016" Properties=species:S:1:pos:R:3 pbc="T T T"
Li 0.0000 0.0000 0.0000
Li 0.0000 2.4556 7.4796
Li 2.4556 0.0000 4.7220
Ac 0.0000 2.4556 3.3669
Ac 2.4556 0.0000 8.8347
Sm 2.4556 2.4556 0.0000
Bi 0.0000 0.0000 6.1008
Bi 0.0000 2.4556 10.1957
Bi 2.4556 0.0000 2.0059
Bi 2.4556 2.4556 6.1008
```

Properties
Its space-group type is P-4m2 (115). For the magnetization, the calculation gives 0.75 Bohr magnetons per cell. The value obtained for the theoretical density is 8.244 g/cm3. Its formation energy is -627 meV/atom. As for the raw total energy: -0.149 Ha/atom.

***

Record 10
## Os2Ru (GGA-PBE)

Data for an optimized crystal structure of Os2Ru.

Cell and atoms, written as extended XYZ:
```
6
Lattice="0.0000 3.5890 3.5890 3.5890 0.0000 3.5890 3.5890 3.5890 0.0000" Properties=species:S:1:pos:R:3 pbc="T T T"
Os 0.0000 0.0000 0.0000
Os 1.7945 1.7945 0.0000
Os 1.7945 0.0000 1.7945
Os 0.0000 1.7945 1.7945
Ru 2.6918 2.6918 2.6918
Ru 4.4863 4.4863 4.4863
```

Properties
Its space-group type is Fd-3m (227). For the magnetization, the calculation gives 0.01 Bohr magnetons per cell. The value obtained for the theoretical density is 17.296 g/cm3. Its formation energy is 786 meV/atom. As for the raw total energy: -0.360 Ha/atom.

***

Record 11
## LiCaGe2 (GGA-PBE)

Data for an optimized crystal structure of LiCaGe2.

Cell and atoms, written as extended XYZ:
```
16
Lattice="6.9539 0.0000 0.0000 0.0000 4.3311 0.0000 0.0000 0.0000 11.3401" Properties=species:S:1:pos:R:3 pbc="T T T"
Li 0.9113 1.0828 0.6490
Li 2.5657 3.2483 6.3191
Li 4.3883 1.0828 5.0210
Li 6.0426 3.2483 10.6910
Ca 0.9938 1.0828 3.9820
Ca 2.4832 3.2483 9.6520
Ca 4.4708 1.0828 1.6880
Ca 5.9601 3.2483 7.3581
Ge 0.2437 1.0828 9.4824
Ge 1.2380 1.0828 7.1836
Ge 2.2389 3.2483 1.5136
Ge 3.2333 3.2483 3.8123
Ge 3.7207 1.0828 7.5277
Ge 4.7150 1.0828 9.8264
Ge 5.7159 3.2483 4.1564
Ge 6.7102 3.2483 1.8577
```

Properties
Its space-group type is Pnma (62). For the magnetization, the calculation gives 0.00 Bohr magnetons per cell. The value obtained for the theoretical density is 3.740 g/cm3. Its formation energy is -510 meV/atom. As for the raw total energy: -0.140 Ha/atom.

***

Record 12
## AcDyGaSn (GGA-PBE)

Data for an optimized crystal structure of AcDyGaSn.

Cell and atoms, written as extended XYZ:
```
16
Lattice="7.7275 0.0000 0.0000 0.0000 7.7275 0.0000 0.0000 0.0000 7.7275" Properties=species:S:1:pos:R:3 pbc="T T T"
Ac 0.0000 0.0000 0.0000
Ac 0.0000 3.8638 3.8638
Ac 3.8638 0.0000 3.8638
Ac 3.8638 3.8638 0.0000
Dy 0.0000 0.0000 3.8638
Dy 0.0000 3.8638 0.0000
Dy 3.8638 0.0000 0.0000
Dy 3.8638 3.8638 3.8638
Ga 1.9319 1.9319 1.9319
Ga 1.9319 5.7956 5.7956
Ga 5.7956 1.9319 5.7956
Ga 5.7956 5.7956 1.9319
Sn 1.9319 1.9319 5.7956
Sn 1.9319 5.7956 1.9319
Sn 5.7956 1.9319 1.9319
Sn 5.7956 5.7956 5.7956
```

Properties
Its space-group type is F-43m (216). For the magnetization, the calculation gives 0.00 Bohr magnetons per cell. The value obtained for the theoretical density is 8.319 g/cm3. Its formation energy is -493 meV/atom. As for the raw total energy: -0.163 Ha/atom.

***

Repeat the seventh record exactly.
## NaNdI3 (GGA-PBE)

Data for an optimized crystal structure of NaNdI3.

Cell and atoms, written as extended XYZ:
```
10
Lattice="7.1937 0.0000 0.0000 2.0876 8.4041 0.0000 1.1566 4.0803 7.8401" Properties=species:S:1:pos:R:3 pbc="T T T"
Na 2.0007 1.5445 2.6574
Na 8.4373 10.9398 5.1827
Nd 1.6221 6.2422 3.9201
Nd 5.2190 6.2422 3.9201
I 3.3606 8.4509 5.4937
I 3.4496 7.0122 1.3845
I 3.3896 3.7225 4.7600
I 7.0484 8.7619 3.0802
I 6.9884 5.4722 6.4556
I 7.0774 4.0335 2.3464
```

Properties
Its space-group type is P-1 (2). For the magnetization, the calculation gives 0.69 Bohr magnetons per cell. The value obtained for the theoretical density is 3.839 g/cm3. The raw formation energy comes out at -1.197 eV/atom. As for the raw total energy: -0.123 Ha/atom.

***

Number 5 is which compound? ScGaBr2